[1]
A relaxed NaY2Co2 crystal, computed with GGA-PBE.

Unit cell a=7.459 b=7.459 c=3.794 alpha=90.00 beta=90.00 gamma=90.00
Sites, in units of the cell vectors:
1 Na 0.000 0.000 0.000
2 Na 0.500 0.500 0.000
3 Y 0.171 0.329 0.500
4 Y 0.329 0.829 0.500
5 Y 0.671 0.171 0.500
6 Y 0.829 0.671 0.500
7 Co 0.109 0.609 0.000
8 Co 0.391 0.109 0.000
9 Co 0.609 0.891 0.000
10 Co 0.891 0.391 0.000

ΔH_f (0 K) = 2.5 kcal/mol of atoms
Energy = -5.584 eV per atom
Spin magnetization = 0.00 Bohr magnetons per cell

[2]
A relaxed LaB4Os4 crystal, computed with GGA-PBE.

Unit cell a=7.671 b=7.671 c=4.005 alpha=90.00 beta=90.00 gamma=90.00
Sites, in units of the cell vectors:
1 La 0.250 0.250 0.250
2 La 0.750 0.750 0.750
3 B 0.031 0.914 0.141
4 B 0.086 0.531 0.641
5 B 0.414 0.969 0.641
6 B 0.469 0.586 0.141
7 B 0.531 0.414 0.859
8 B 0.586 0.031 0.359
9 B 0.914 0.469 0.359
10 B 0.969 0.086 0.859
11 Os 0.105 0.644 0.140
12 Os 0.144 0.895 0.640
13 Os 0.356 0.605 0.640
14 Os 0.395 0.856 0.140
15 Os 0.605 0.144 0.860
16 Os 0.644 0.395 0.360
17 Os 0.856 0.105 0.360
18 Os 0.895 0.356 0.860

ΔH_f (0 K) = -9.1 kcal/mol of atoms
Energy = -8.900 eV per atom
Spin magnetization = 0.00 Bohr magnetons per cell

[3]
A relaxed CsTlBr3 crystal, computed with GGA-PBE.

Unit cell a=10.219 b=14.254 c=7.561 alpha=90.00 beta=90.00 gamma=90.00
Sites, in units of the cell vectors:
1 Cs 0.000 0.000 0.000
2 Cs 0.000 0.500 0.000
3 Cs 0.500 0.000 0.500
4 Cs 0.500 0.500 0.500
5 Tl 0.184 0.250 0.423
6 Tl 0.316 0.750 0.923
7 Tl 0.684 0.250 0.077
8 Tl 0.816 0.750 0.577
9 Br 0.055 0.750 0.774
10 Br 0.184 0.090 0.631
11 Br 0.184 0.410 0.631
12 Br 0.316 0.590 0.131
13 Br 0.316 0.910 0.131
14 Br 0.445 0.250 0.274
15 Br 0.555 0.750 0.726
16 Br 0.684 0.090 0.869
17 Br 0.684 0.410 0.869
18 Br 0.816 0.590 0.369
19 Br 0.816 0.910 0.369
20 Br 0.945 0.250 0.226

Energy = -2.694 eV per atom
Spin magnetization = 0.00 Bohr magnetons per cell

[4]
A relaxed LiV2HgTe crystal, computed with GGA-PBE.

Unit cell a=5.129 b=5.129 c=4.926 alpha=90.00 beta=90.00 gamma=90.00
Sites, in units of the cell vectors:
1 Li 0.000 0.000 0.000
2 V 0.000 0.500 0.500
3 V 0.500 0.000 0.500
4 Hg 0.500 0.500 0.000
5 Te 0.000 0.000 0.500

Energy = -4.038 eV per atom
Spin magnetization = 6.64 Bohr magnetons per cell

[5]
A relaxed CaNi3 crystal, computed with GGA-PBE.

Unit cell a=5.431 b=5.431 c=4.190 alpha=90.00 beta=90.00 gamma=98.26
Sites, in units of the cell vectors:
1 Ca 0.107 0.893 0.750
2 Ca 0.893 0.107 0.250
3 Ni 0.126 0.547 0.250
4 Ni 0.430 0.570 0.750
5 Ni 0.453 0.874 0.250
6 Ni 0.547 0.126 0.750
7 Ni 0.570 0.430 0.250
8 Ni 0.874 0.453 0.750

ΔH_f (0 K) = 7.8 kcal/mol of atoms
Energy = -4.496 eV per atom
Spin magnetization = 1.19 Bohr magnetons per cell

[6]
A relaxed BaCuCl2 crystal, computed with GGA-PBE.

Unit cell a=9.476 b=9.476 c=9.476 alpha=147.06 beta=147.06 gamma=47.28
Sites, in units of the cell vectors:
1 Ba 0.000 0.000 0.000
2 Ba 0.750 0.250 0.500
3 Cu 0.250 0.750 0.500
4 Cu 0.500 0.500 0.000
5 Cl 0.180 0.625 0.055
6 Cl 0.375 0.430 0.555
7 Cl 0.570 0.125 0.945
8 Cl 0.875 0.820 0.445

E above lowest polymorph = 161 meV per atom
Energy = -3.458 eV per atom
Spin magnetization = 0.00 Bohr magnetons per cell

[7]
A relaxed BeIrAu crystal, computed with GGA-PBE.

Unit cell a=3.947 b=3.947 c=5.614 alpha=90.00 beta=90.00 gamma=90.00
Sites, in units of the cell vectors:
1 Be 0.250 0.250 0.214
2 Be 0.750 0.750 0.786
3 Ir 0.250 0.750 0.000
4 Ir 0.750 0.250 0.000
5 Au 0.250 0.750 0.500
6 Au 0.750 0.250 0.500

E above lowest polymorph = 70 meV per atom
ΔH_f (0 K) = -1.4 kcal/mol of atoms
Energy = -5.348 eV per atom
Spin magnetization = 0.00 Bohr magnetons per cell

[8]
A relaxed PuScCdAg crystal, computed with GGA-PBE.

Unit cell a=5.131 b=5.131 c=5.131 alpha=60.00 beta=60.00 gamma=60.00
Sites, in units of the cell vectors:
1 Pu 0.000 0.000 0.000
2 Sc 0.500 0.500 0.500
3 Cd 0.750 0.750 0.750
4 Ag 0.250 0.250 0.250

ΔH_f (0 K) = -0.2 kcal/mol of atoms
Energy = -6.118 eV per atom
Spin magnetization = 6.23 Bohr magnetons per cell

[9]
A relaxed ThGaCuPt2 crystal, computed with GGA-PBE.

Unit cell a=6.899 b=6.899 c=6.899 alpha=147.28 beta=147.28 gamma=46.94
Sites, in units of the cell vectors:
1 Th 0.000 0.000 0.000
2 Ga 0.250 0.750 0.500
3 Cu 0.750 0.250 0.500
4 Pt 0.392 0.392 0.000
5 Pt 0.608 0.608 0.000

ΔH_f (0 K) = -18.4 kcal/mol of atoms
Energy = -6.124 eV per atom
Spin magnetization = 0.00 Bohr magnetons per cell

[10]
A relaxed Ba2IrOsN crystal, computed with GGA-PBE.

Unit cell a=6.010 b=6.010 c=4.645 alpha=90.00 beta=90.00 gamma=90.00
Sites, in units of the cell vectors:
1 Ba 0.000 0.500 0.000
2 Ba 0.500 0.000 0.000
3 Ir 0.000 0.000 0.500
4 Os 0.000 0.000 0.000
5 N 0.500 0.500 0.500

Energy = -5.297 eV per atom
Spin magnetization = 1.81 Bohr magnetons per cell

[11]
A relaxed InIrRu2 crystal, computed with GGA-PBE.

Unit cell a=4.832 b=4.832 c=2.811 alpha=90.00 beta=90.00 gamma=108.99
Sites, in units of the cell vectors:
1 In 0.000 0.000 0.000
2 Ir 0.500 0.500 0.000
3 Ru 0.000 0.500 0.500
4 Ru 0.500 0.000 0.500

ΔH_f (0 K) = 5.7 kcal/mol of atoms
Energy = -7.290 eV per atom
Spin magnetization = 0.00 Bohr magnetons per cell

[12]
A relaxed La4InPt crystal, computed with GGA-PBE.

Unit cell a=7.467 b=7.959 c=7.258 alpha=90.00 beta=95.53 gamma=90.00
Sites, in units of the cell vectors:
1 La 0.156 0.177 0.193
2 La 0.156 0.323 0.693
3 La 0.335 0.646 0.097
4 La 0.335 0.854 0.597
5 La 0.665 0.146 0.403
6 La 0.665 0.354 0.903
7 La 0.844 0.677 0.307
8 La 0.844 0.823 0.807
9 In 0.500 0.000 0.000
10 In 0.500 0.500 0.500
11 Pt 0.000 0.000 0.500
12 Pt 0.000 0.500 0.000

E above lowest polymorph = 173 meV per atom
ΔH_f (0 K) = -10.2 kcal/mol of atoms
Energy = -5.192 eV per atom
Spin magnetization = 0.01 Bohr magnetons per cell

[13]
A relaxed Ga16Rh3 crystal, computed with GGA-PBE.

Unit cell a=15.804 b=15.804 c=6.505 alpha=90.00 beta=90.00 gamma=156.20
Sites, in units of the cell vectors:
1 Ga 0.009 0.991 0.750
2 Ga 0.017 0.273 0.605
3 Ga 0.068 0.635 0.399
4 Ga 0.099 0.221 0.910
5 Ga 0.135 0.568 0.101
6 Ga 0.170 0.830 0.750
7 Ga 0.221 0.099 0.410
8 Ga 0.227 0.483 0.105
9 Ga 0.273 0.017 0.105
10 Ga 0.279 0.401 0.410
11 Ga 0.330 0.670 0.750
12 Ga 0.365 0.932 0.101
13 Ga 0.401 0.279 0.910
14 Ga 0.432 0.865 0.399
15 Ga 0.483 0.227 0.605
16 Ga 0.491 0.509 0.750
17 Ga 0.509 0.491 0.250
18 Ga 0.517 0.773 0.395
19 Ga 0.568 0.135 0.601
20 Ga 0.599 0.721 0.090
21 Ga 0.635 0.068 0.899
22 Ga 0.670 0.330 0.250
23 Ga 0.721 0.599 0.590
24 Ga 0.727 0.983 0.895
25 Ga 0.773 0.517 0.895
26 Ga 0.779 0.901 0.590
27 Ga 0.830 0.170 0.250
28 Ga 0.865 0.432 0.899
29 Ga 0.901 0.779 0.090
30 Ga 0.932 0.365 0.601
31 Ga 0.983 0.727 0.395
32 Ga 0.991 0.009 0.250
33 Rh 0.090 0.910 0.750
34 Rh 0.250 0.750 0.750
35 Rh 0.410 0.590 0.750
36 Rh 0.590 0.410 0.250
37 Rh 0.750 0.250 0.250
38 Rh 0.910 0.090 0.250

ΔH_f (0 K) = -7.1 kcal/mol of atoms
Energy = -4.017 eV per atom
Spin magnetization = 0.00 Bohr magnetons per cell

[14]
A relaxed Mg6C7 crystal, computed with GGA-PBE.

Unit cell a=10.011 b=10.011 c=10.011 alpha=29.58 beta=29.58 gamma=29.58
Sites, in units of the cell vectors:
1 Mg 0.054 0.054 0.054
2 Mg 0.227 0.227 0.227
3 Mg 0.341 0.341 0.341
4 Mg 0.659 0.659 0.659
5 Mg 0.773 0.773 0.773
6 Mg 0.946 0.946 0.946
7 C 0.257 0.550 0.550
8 C 0.450 0.450 0.743
9 C 0.450 0.743 0.450
10 C 0.500 0.500 0.500
11 C 0.550 0.257 0.550
12 C 0.550 0.550 0.257
13 C 0.743 0.450 0.450

ΔH_f (0 K) = 23.3 kcal/mol of atoms
Energy = -4.691 eV per atom
Spin magnetization = 0.00 Bohr magnetons per cell

[15]
A relaxed DyHo2Pb9 crystal, computed with GGA-PBE.

Unit cell a=4.874 b=4.874 c=14.626 alpha=90.00 beta=90.00 gamma=90.00
Sites, in units of the cell vectors:
1 Dy 0.000 0.000 0.000
2 Ho 0.000 0.000 0.333
3 Ho 0.000 0.000 0.667
4 Pb 0.000 0.500 0.167
5 Pb 0.000 0.500 0.500
6 Pb 0.000 0.500 0.833
7 Pb 0.500 0.000 0.167
8 Pb 0.500 0.000 0.500
9 Pb 0.500 0.000 0.833
10 Pb 0.500 0.500 0.000
11 Pb 0.500 0.500 0.334
12 Pb 0.500 0.500 0.666

ΔH_f (0 K) = -6.1 kcal/mol of atoms
Energy = -4.191 eV per atom
Spin magnetization = 0.00 Bohr magnetons per cell

[16]
A relaxed KFe2Cu crystal, computed with GGA-PBE.

Unit cell a=5.425 b=5.425 c=5.425 alpha=138.26 beta=138.26 gamma=60.50
Sites, in units of the cell vectors:
1 K 0.000 0.000 0.000
2 Fe 0.250 0.750 0.500
3 Fe 0.750 0.250 0.500
4 Cu 0.500 0.500 0.000

E above lowest polymorph = 611 meV per atom
ΔH_f (0 K) = 27.8 kcal/mol of atoms
Energy = -4.324 eV per atom
Spin magnetization = 5.79 Bohr magnetons per cell

[17]
A relaxed NaHfMgNi2 crystal, computed with GGA-PBE.

Unit cell a=4.697 b=4.697 c=5.615 alpha=90.00 beta=90.00 gamma=90.00
Sites, in units of the cell vectors:
1 Na 0.000 0.000 0.000
2 Hf 0.500 0.500 0.500
3 Mg 0.500 0.500 0.000
4 Ni 0.000 0.500 0.500
5 Ni 0.500 0.000 0.500

ΔH_f (0 K) = 20.2 kcal/mol of atoms
Energy = -4.011 eV per atom
Spin magnetization = 0.00 Bohr magnetons per cell

[18]
A relaxed LaTb3Sm12 crystal, computed with GGA-PBE.

Unit cell a=5.122 b=5.122 c=20.518 alpha=90.00 beta=90.00 gamma=90.00
Sites, in units of the cell vectors:
1 La 0.000 0.000 0.000
2 Tb 0.000 0.000 0.251
3 Tb 0.000 0.000 0.500
4 Tb 0.000 0.000 0.749
5 Sm 0.000 0.500 0.128
6 Sm 0.000 0.500 0.376
7 Sm 0.000 0.500 0.624
8 Sm 0.000 0.500 0.872
9 Sm 0.500 0.000 0.128
10 Sm 0.500 0.000 0.376
11 Sm 0.500 0.000 0.624
12 Sm 0.500 0.000 0.872
13 Sm 0.500 0.500 0.000
14 Sm 0.500 0.500 0.252
15 Sm 0.500 0.500 0.500
16 Sm 0.500 0.500 0.748

ΔH_f (0 K) = 0.4 kcal/mol of atoms
Energy = -4.699 eV per atom
Spin magnetization = 0.00 Bohr magnetons per cell

[19]
A relaxed SrCd4Ga4 crystal, computed with GGA-PBE.

Unit cell a=6.108 b=6.108 c=11.157 alpha=90.00 beta=90.00 gamma=90.00
Sites, in units of the cell vectors:
1 Sr 0.250 0.750 0.250
2 Sr 0.750 0.250 0.750
3 Cd 0.010 0.250 0.036
4 Cd 0.250 0.010 0.536
5 Cd 0.250 0.490 0.536
6 Cd 0.490 0.250 0.036
7 Cd 0.510 0.750 0.964
8 Cd 0.750 0.510 0.464
9 Cd 0.750 0.990 0.464
10 Cd 0.990 0.750 0.964
11 Ga 0.037 0.250 0.305
12 Ga 0.250 0.037 0.805
13 Ga 0.250 0.463 0.805
14 Ga 0.463 0.250 0.305
15 Ga 0.537 0.750 0.695
16 Ga 0.750 0.537 0.195
17 Ga 0.750 0.963 0.195
18 Ga 0.963 0.750 0.695

ΔH_f (0 K) = -2.8 kcal/mol of atoms
Energy = -2.060 eV per atom
Spin magnetization = 0.00 Bohr magnetons per cell

[20]
A relaxed CsCuBF6 crystal, computed with GGA-PBE.

Unit cell a=5.326 b=5.399 c=6.265 alpha=95.43 beta=90.37 gamma=117.84
Sites, in units of the cell vectors:
1 Cs 0.000 0.000 0.000
2 Cu 0.418 0.720 0.482
3 B 0.784 0.395 0.494
4 F 0.418 0.886 0.748
5 F 0.435 0.573 0.214
6 F 0.603 0.156 0.351
7 F 0.620 0.495 0.620
8 F 0.952 0.327 0.626
9 F 0.971 0.618 0.376

Energy = -4.960 eV per atom
Spin magnetization = 1.01 Bohr magnetons per cell